VASP calculation (GGA-PBE) on an optimized crystal structure of SrAcIrAu.

Values from the calculation:
For the theoretical density, the calculation gives 11077 kg/m3. The formation energy is -518 meV per atom.

The structure in CIF format:
```
data_SrAcIrAu
_chemical_formula_sum 'Sr4 Ac4 Ir4 Au4'
_space_group_name_H-M_alt 'F -4 3 m'
_space_group_IT_number 216
_space_group_name_Hall 'F -4 2 3'
_cell_length_a 7.501
_cell_length_b 7.501
_cell_length_c 7.501
_cell_angle_alpha 90.00
_cell_angle_beta 90.00
_cell_angle_gamma 90.00
loop_
_atom_site_label
_atom_site_type_symbol
_atom_site_fract_x
_atom_site_fract_y
_atom_site_fract_z
Sr1 Sr 0.000 0.000 0.000
Ac1 Ac 0.000 0.000 0.500
Ir1 Ir 0.250 0.250 0.750
Au1 Au 0.250 0.250 0.250
```